Entry 1:
Entry from the Alexandria database: RbTlPb after structural relaxation (PBE).

extended XYZ file:
```
6
Lattice="5.817 0.000 0.000 -2.908 5.037 0.000 0.000 0.000 7.336" Properties=species:S:1:pos:R:3 pbc="T T T"
Rb 0.000 0.000 0.000
Rb 0.000 0.000 3.668
Tl 0.000 3.358 1.834
Tl 2.908 1.679 5.502
Pb 0.000 3.358 5.502
Pb 2.908 1.679 1.834
```

Properties
Uncorrected energy ... -14.23 eV per cell
Formation enthalpy at 0 K ... -0.0243 eV/atom
SG ... No. 194
Spin magnetization ... 0.0 Bohr magnetons per cell
DOS at the Fermi energy ... 0.61 states/eV/atom

Entry 2:
Entry from the Alexandria database: Mo5W3 after structural relaxation (PBE).

extended XYZ file:
```
16
Lattice="6.348 0.000 0.000 0.000 4.489 4.488 0.000 -4.489 4.488" Properties=species:S:1:pos:R:3 pbc="T T T"
Mo 0.000 0.000 0.000
Mo 0.000 2.248 6.728
Mo 0.000 -2.248 6.728
Mo 1.585 0.000 2.239
Mo 1.585 -2.244 4.484
Mo 1.585 2.244 4.484
Mo 3.174 0.000 4.480
Mo 4.763 0.000 2.239
Mo 4.764 -2.244 4.484
Mo 4.764 2.244 4.484
W 0.000 0.000 4.478
W 1.584 0.000 6.728
W 3.174 0.000 8.976
W 3.174 -2.239 2.240
W 3.174 2.239 2.240
W 4.764 0.000 6.728
```

Properties
Uncorrected energy ... -186.20 eV per cell
Formation enthalpy at 0 K ... -0.0106 eV/atom
SG ... No. 38
Spin magnetization ... 0.0 Bohr magnetons per cell
DOS at the Fermi energy ... 0.70 states/eV/atom
Energy above the lowest structure with this stoichiometry ... 1.7 meV/atom

Entry 3:
Entry from the Alexandria database: Rb3Mn2CdBr9 after structural relaxation (PBE).

extended XYZ file:
```
15
Lattice="7.706 0.000 0.000 -3.853 6.674 0.000 0.000 0.000 9.442" Properties=species:S:1:pos:R:3 pbc="T T T"
Rb 0.000 0.000 0.000
Rb 0.000 4.449 6.301
Rb 3.853 2.225 3.141
Mn 0.000 4.449 1.529
Mn 3.853 2.225 7.913
Cd 0.000 0.000 4.721
Br -1.926 3.337 0.000
Br 0.000 2.274 3.094
Br -1.884 5.537 3.094
Br 1.969 1.137 6.348
Br 3.853 0.000 0.000
Br 1.926 3.337 0.000
Br 1.884 5.537 3.094
Br 5.737 1.137 6.348
Br 3.853 4.400 6.348
```

Properties
Uncorrected energy ... -54.71 eV per cell
SG ... No. 164
Spin magnetization ... 10.0 Bohr magnetons per cell
DOS at the Fermi energy ... 0.00 states/eV/atom

Entry 4:
Entry from the Alexandria database: CdReAg after structural relaxation (PBE).

extended XYZ file:
```
3
Lattice="-1.348 2.141 4.587 1.348 -2.141 4.587 1.348 2.141 -4.587" Properties=species:S:1:pos:R:3 pbc="T T T"
Cd 0.000 0.000 0.000
Re 0.000 0.000 6.136
Ag 0.000 0.000 3.021
```

Properties
Uncorrected energy ... -13.84 eV per cell
Formation enthalpy at 0 K ... 0.7918 eV/atom
SG ... No. 44
Spin magnetization ... 0.8 Bohr magnetons per cell
DOS at the Fermi energy ... 0.62 states/eV/atom
Energy above the lowest structure with this stoichiometry ... 321.2 meV/atom

Entry 5:
Entry from the Alexandria database: MnNi5H after structural relaxation (PBE).

extended XYZ file:
```
7
Lattice="3.480 0.000 0.000 0.000 3.480 0.000 0.000 0.000 5.977" Properties=species:S:1:pos:R:3 pbc="T T T"
Mn 0.000 0.000 0.000
Ni 0.000 1.740 1.817
Ni 0.000 1.740 4.160
Ni 1.740 0.000 1.817
Ni 1.740 0.000 4.160
Ni 1.740 1.740 0.000
H 1.740 1.740 2.989
```

Properties
Uncorrected energy ... -40.28 eV per cell
SG ... No. 123
Spin magnetization ... 5.6 Bohr magnetons per cell
DOS at the Fermi energy ... 1.55 states/eV/atom

Entry 6:
Entry from the Alexandria database: NdTmAg2Se4 after structural relaxation (PBE).

extended XYZ file:
```
8
Lattice="6.893 0.000 0.000 0.000 4.221 0.000 -2.587 0.000 6.841" Properties=species:S:1:pos:R:3 pbc="T T T"
Nd 0.000 0.000 0.000
Tm -1.294 2.110 3.420
Ag 2.153 0.000 3.420
Ag 3.446 2.110 0.000
Se -0.215 0.000 5.059
Se 1.048 2.110 1.779
Se 3.257 2.110 5.062
Se 4.520 0.000 1.782
```

Properties
Uncorrected energy ... -38.06 eV per cell
SG ... No. 10
Spin magnetization ... 0.0 Bohr magnetons per cell

Entry 7:
Entry from the Alexandria database: AsPtSe2F after structural relaxation (PBE).

extended XYZ file:
```
5
Lattice="4.910 0.000 0.000 0.000 4.910 0.000 0.000 0.000 3.978" Properties=species:S:1:pos:R:3 pbc="T T T"
As 0.000 0.000 0.000
Pt 2.455 2.455 0.000
Se 0.000 2.455 1.989
Se 2.455 0.000 1.989
F 0.000 0.000 1.989
```

Properties
Uncorrected energy ... -16.40 eV per cell
SG ... No. 123
Spin magnetization ... 0.0 Bohr magnetons per cell
DOS at the Fermi energy ... 1.11 states/eV/atom
Energy above the lowest structure with this stoichiometry ... 216.1 meV/atom

Entry 8:
Entry from the Alexandria database: TbPm3Sb3 after structural relaxation (PBE).

extended XYZ file:
```
14
Lattice="4.580 2.644 6.271 -4.580 2.644 6.271 0.000 -5.288 6.271" Properties=species:S:1:pos:R:3 pbc="T T T"
Tb 0.000 0.000 3.141
Tb 0.000 0.000 15.671
Pm -1.176 -2.113 7.773
Pm -2.418 -0.038 11.040
Pm -1.242 2.075 7.773
Pm 1.242 -2.075 11.040
Pm 2.418 0.038 7.773
Pm 1.176 2.113 11.040
Sb -3.538 -0.038 7.919
Sb -1.736 -3.083 10.893
Sb 1.802 -3.045 7.919
Sb -1.802 3.045 10.893
Sb 1.736 3.083 7.919
Sb 3.538 0.038 10.893
```

Properties
Uncorrected energy ... -75.75 eV per cell
SG ... No. 148
Spin magnetization ... 0.0 Bohr magnetons per cell
DOS at the Fermi energy ... 0.65 states/eV/atom
Energy above the lowest structure with this stoichiometry ... 100.1 meV/atom